# Be2InF

A geometry-optimized Be2InF structure (PBE, Alexandria via LeMat-Bulk).

Properties
formation energy (no corrections) = 0.294 eV/atom
crystal system = cubic
offset from the most stable computed form = 0.638 eV/atom
space group = Fm-3m

Lattice parameters (Å, degrees): 4.3367 4.3367 4.3367 60.00 60.00 60.00
Positions (direct):
In 0.5000 0.5000 0.5000
F 0.0000 0.0000 0.0000
Be 0.2500 0.2500 0.2500
Be 0.7500 0.7500 0.7500



# BeIn3F

A geometry-optimized BeIn3F structure (PBE, Alexandria via LeMat-Bulk).

Properties
formation energy (no corrections) = -0.203 eV/atom
crystal system = cubic
offset from the most stable computed form = 0.000 eV/atom
space group = Pm-3m

Lattice parameters (Å, degrees): 4.8547 4.8547 4.8547 90.00 90.00 90.00
Positions (direct):
Be 0.0000 0.0000 0.0000
F 0.5000 0.5000 0.5000
In 0.5000 0.0000 0.0000
In 0.0000 0.5000 0.0000
In 0.0000 0.0000 0.5000



# BeInF2

A geometry-optimized BeInF2 structure (PBE, Alexandria via LeMat-Bulk).

Properties
formation energy (no corrections) = -0.712 eV/atom
crystal system = cubic
offset from the most stable computed form = 1.246 eV/atom
space group = Fm-3m

Lattice parameters (Å, degrees): 4.3816 4.3816 4.3816 60.00 60.00 60.00
Each line ends with the local moment (μB).
Positions (direct):
In 0.5000 0.5000 0.5000  0.07
F 0.7500 0.7500 0.7500  0.07
Be 0.0000 0.0000 0.0000  0.29
F 0.2500 0.2500 0.2500  0.07



# BeInF3

A geometry-optimized BeInF3 structure (PBE, Alexandria via LeMat-Bulk).

Properties
formation energy (no corrections) = -2.163 eV/atom
crystal system = cubic
offset from the most stable computed form = 0.447 eV/atom
space group = Pm-3m

Lattice parameters (Å, degrees): 3.8790 3.8790 3.8790 90.00 90.00 90.00
Positions (direct):
F 0.0000 0.0000 0.5000
In 0.5000 0.5000 0.5000
F 0.0000 0.5000 0.0000
F 0.5000 0.0000 0.0000
Be 0.0000 0.0000 0.0000



# BeInF2

A geometry-optimized BeInF2 structure (PBE, Alexandria via LeMat-Bulk).

Properties
formation energy (no corrections) = -1.957 eV/atom
crystal system = tetragonal
offset from the most stable computed form = 0.000 eV/atom
space group = I4_1/amd

Lattice parameters (Å, degrees): 5.4095 5.4095 5.4233 60.08 60.08 90.00
Positions (direct):
Be 0.2500 0.7500 0.5000
Be 0.5000 0.5000 0.0000
F 0.3750 0.6250 0.7500
In 0.0000 0.0000 0.0000
F 0.8750 0.6250 0.7500
In 0.7500 0.2500 0.5000
F 0.3750 0.6250 0.2500
F 0.3750 0.1250 0.2500



# BeIn2F

A geometry-optimized BeIn2F structure (PBE, Alexandria via LeMat-Bulk).

Properties
formation energy (no corrections) = -0.299 eV/atom
crystal system = cubic
offset from the most stable computed form = 0.051 eV/atom
space group = Fm-3m

Lattice parameters (Å, degrees): 4.6227 4.6227 4.6227 60.00 60.00 60.00
Positions (direct):
In 0.2500 0.2500 0.2500
In 0.7500 0.7500 0.7500
F 0.5000 0.5000 0.5000
Be 0.0000 0.0000 0.0000



# BeInF2

A geometry-optimized BeInF2 structure (PBE, Alexandria via LeMat-Bulk).

Properties
formation energy (no corrections) = -1.942 eV/atom
crystal system = trigonal
offset from the most stable computed form = 0.015 eV/atom
space group = R-3m

Lattice parameters (Å, degrees): 9.5156 9.5156 9.5156 17.15 17.15 17.15
Positions (direct):
Be 0.5000 0.5000 0.5000
In 0.0000 0.0000 0.0000
F 0.8637 0.8637 0.8637
F 0.1363 0.1363 0.1363



# BeInF3

A geometry-optimized BeInF3 structure (PBE, Alexandria via LeMat-Bulk).

Properties
formation energy (no corrections) = -2.609 eV/atom
crystal system = orthorhombic
offset from the most stable computed form = 0.000 eV/atom
space group = Pnma

Lattice parameters (Å, degrees): 4.7563 5.7280 11.3550 90.00 90.00 90.00
Positions (direct):
F 0.5137 0.5398 0.8663
F 0.0137 0.9602 0.8663
In 0.0000 0.5000 0.0000
Be 0.4568 0.4138 0.7500
F 0.4863 0.4602 0.3663
In 0.0000 0.5000 0.5000
F 0.4863 0.4602 0.1337
F 0.3685 0.8296 0.2500
F 0.9863 0.0398 0.1337
F 0.8685 0.6704 0.2500
F 0.1315 0.3296 0.7500
F 0.5137 0.5398 0.6337
Be 0.5432 0.5862 0.2500
In 0.5000 0.0000 0.5000
F 0.6315 0.1704 0.7500
Be 0.0432 0.9138 0.2500
F 0.9863 0.0398 0.3663
F 0.0137 0.9602 0.6337
In 0.5000 0.0000 0.0000
Be 0.9568 0.0862 0.7500